i | Here is a geometry-optimized LuSc2Sb structure from the Alexandria database. Energies are from PBE-GGA.

The structure in extended XYZ format:
```
4
Lattice="-2.9741 -1.8305 -2.9586 3.4191 -0.8761 -2.8950 0.5915 -4.0912 1.9367" Properties=species:S:1:pos:R:3 pbc="T T T"
Lu 0.5183 -3.3989 -1.9584
Sc 1.7096 -0.4380 -1.4475
Sb -1.4870 -0.9152 -1.4793
Sc 0.2957 -2.0456 0.9683
```

Computed properties:
The calculation puts the theoretical density at 6.73 Mg/m³. The space group is P4/mmm, No. 123.

***

ii | Here is a geometry-optimized LuSc2Sb structure from the Alexandria database. Energies are from PBE-GGA.

The structure in extended XYZ format:
```
4
Lattice="-0.3853 -3.0707 1.2598 -0.1585 -2.6373 -2.0455 10.7649 -3.0286 0.3414" Properties=species:S:1:pos:R:3 pbc="T T T"
Lu 0.0000 0.0000 0.0000
Sb 5.1105 -4.3683 -0.2222
Sc 7.6279 -2.7059 0.1685
Sc 2.5932 -6.0306 -0.6128
```

Computed properties:
The calculation puts the theoretical density at 6.03 Mg/m³. The space group is R-3m, No. 166.

***

The data favor i; the next most stable structure lies 0.486 eV/atom above it.

***

i | Here is a geometry-optimized SmLu2Sb structure from the Alexandria database. Energies are from PBE-GGA.

The structure in extended XYZ format:
```
4
Lattice="3.9115 0.0000 0.0000 0.0000 3.9115 0.0000 0.0000 0.0000 7.3788" Properties=species:S:1:pos:R:3 pbc="T T T"
Lu 0.0000 0.0000 5.7541
Sb 1.9557 1.9557 0.0000
Sm 1.9557 1.9557 3.6894
Lu 0.0000 0.0000 1.6247
```

Computed properties:
The calculation puts the theoretical density at 9.15 Mg/m³. The space group is P4/mmm, No. 123.

***

ii | Here is a geometry-optimized SmLu2Sb structure from the Alexandria database. Energies are from PBE-GGA.

The structure in extended XYZ format:
```
4
Lattice="-2.9328 3.3117 -2.9953 -5.3198 -0.4819 -0.0882 -3.0572 3.7099 2.3309" Properties=species:S:1:pos:R:3 pbc="T T T"
Sb -5.6549 3.2699 -0.3763
Lu -2.8274 1.6345 -0.1886
Lu -8.4824 4.9052 -0.5640
Sm 0.0000 0.0000 0.0000
```

Computed properties:
The calculation puts the theoretical density at 9.58 Mg/m³. The space group is Fm-3m, No. 225.

***

The data favor i; the next most stable structure lies 0.254 eV/atom above it.

***

i | Here is a geometry-optimized LuSnSb2 structure from the Alexandria database. Energies are from PBE-GGA.

The structure in extended XYZ format:
```
4
Lattice="4.2674 0.0000 0.0000 2.1337 3.6957 0.0000 2.1337 1.2319 7.5228" Properties=species:S:1:pos:R:3 pbc="T T T"
Lu 4.2674 2.4638 3.7614
Sb 2.1337 1.2319 1.9338
Sn 0.0000 0.0000 0.0000
Sb 6.4011 3.6957 5.5890
```

Computed properties:
The calculation puts the theoretical density at 7.52 Mg/m³. The space group is R-3m, No. 166.

***

ii | Here is a geometry-optimized LuSnSb2 structure from the Alexandria database. Energies are from PBE-GGA.

The structure in extended XYZ format:
```
4
Lattice="-2.8164 -1.2055 2.6827 -1.0023 -3.0986 -2.4446 4.3663 -3.7126 2.9157" Properties=species:S:1:pos:R:3 pbc="T T T"
Lu 0.2738 -4.0083 1.5769
Sb 1.1590 -0.9855 0.7739
Sn -1.9093 -2.1521 0.1190
Sb 3.2073 -2.7271 2.1417
```

Computed properties:
The calculation puts the theoretical density at 8.37 Mg/m³. The space group is P4/mmm, No. 123.

***

The data favor ii; the next most stable structure lies 0.005 eV/atom above it.